No. 1
VASP calculation (GGA-PBE) on a relaxed CoNi4Pt8 crystal.

Cell lengths 8.7529, 8.7529, 8.7529 Å; angles 35.95, 35.95, 35.95 degrees
Fractional coordinates of all 13 atoms:
Co 0.0000 0.0000 0.0000
Ni 0.0000 0.0000 0.5000
Ni 0.0000 0.5000 0.0000
Ni 0.5000 0.0000 0.0000
Ni 0.5000 0.5000 0.5000
Pt 0.2481 0.2481 0.7419
Pt 0.2481 0.7419 0.2481
Pt 0.2540 0.2540 0.2540
Pt 0.2581 0.7519 0.7519
Pt 0.7419 0.2481 0.2481
Pt 0.7460 0.7460 0.7460
Pt 0.7519 0.2581 0.7519
Pt 0.7519 0.7519 0.2581

Values from the calculation:
Formation energy   182 kJ/mol of formula units
Calculated density   14.90 g cm⁻³
Space group   No. 166
Fermi-level density of states   22.19 states/eV/f.u.



No. 2
VASP calculation (GGA-PBE) on a relaxed PrNdYTm crystal.

Cell lengths 5.7543, 5.7543, 5.7543 Å; angles 60.00, 60.00, 60.00 degrees
Fractional coordinates of all 4 atoms:
Pr 0.0000 0.0000 0.0000
Nd 0.5000 0.5000 0.5000
Y 0.2500 0.2500 0.2500
Tm 0.7500 0.7500 0.7500

Values from the calculation:
Formation energy   37 kJ/mol of formula units
ΔE to the lowest computed polymorph   0.083 eV per atom
Calculated density   6.69 g cm⁻³
Space group   No. 216
Fermi-level density of states   7.02 states/eV/f.u.



No. 3
VASP calculation (GGA-PBE) on a relaxed KBeCl2 crystal.

Cell lengths 4.0801, 4.0801, 6.2495 Å; angles 90.00, 90.00, 90.00 degrees
Fractional coordinates of all 4 atoms:
K 0.0000 0.0000 0.0000
Be 0.5000 0.5000 0.4911
Cl 0.0000 0.0000 0.4762
Cl 0.5000 0.5000 0.8070

Values from the calculation:
ΔE_f (raw)   -0.7809 eV per atom
ΔE to the lowest computed polymorph   0.203 eV per atom
Calculated density   1.90 g cm⁻³
Space group   No. 99
Fermi-level density of states   0.69 states/eV/f.u.



E_tot for the records above, in order: -5.898, -5.025, -2.910 eV per atom